Below is a relaxed structure of RbTeAsI2, with properties calculated at the PBE level. Values from VASP.

Geometry as Quantum ESPRESSO input:
```
&SYSTEM
  ibrav = 0, nat = 5, ntyp = 4
/
ATOMIC_SPECIES
Rb 85.47 Rb.upf
Te 127.60 Te.upf
As 74.92 As.upf
I 126.90 I.upf
CELL_PARAMETERS angstrom
5.955 0.000 0.000
0.000 5.955 0.000
0.000 0.000 5.542
ATOMIC_POSITIONS crystal
Rb 0.000 0.000 0.000
Te 0.500 0.500 0.000
As 0.500 0.500 0.500
I 0.000 0.500 0.500
I 0.500 0.000 0.500
```

Computed properties:
E, eV/atom: -2.791
DOS(E_F), states/eV/cell: 2.22
Density, g/cm³: 4.58
Excess energy over the best structure of this formula in the dataset, kJ per mole of atoms: 0.0
ΔE_f (raw), eV per atom: -0.419
SG: P4/mmm (123)